(1)
The following is a GGA-PBEsol calculation of a relaxed structure of BaFe, from Alexandria via LeMat-Bulk.

## Properties
- DOS(E_F) (states/eV per cell) = 4.700
- energy of formation (eV/atom) = 0.60
- spin magnetization (μB per formula unit) = 2.4
- space-group type = P4/nmm (129)
- total DFT energy (no corrections) (eV per cell) = -19.82

Lattice parameters (Å, degrees): 3.4285 3.4285 9.1686 90.00 90.00 90.00
Closest atoms and distances in Å follow each position.
Positions (direct):
Ba: 0.5000 0.0000 0.2126  1 Fe 2.91
Ba: 0.0000 0.5000 0.7874  1 Fe 2.91
Fe: 0.5000 0.0000 0.5302  4 Fe 2.49
Fe: 0.0000 0.5000 0.4698  4 Fe 2.49

***

(2)
The following is a GGA-PBEsol calculation of a relaxed structure of Ba4Fe, from Alexandria via LeMat-Bulk.

## Properties
- relative energy among the computed polymorphs (eV per atom) = 0.000
- DOS(E_F) (states/eV per cell) = 9.413
- energy of formation (eV/atom) = 0.40
- spin magnetization (μB per formula unit) = 2.2
- space-group type = I4/m (87)
- total DFT energy (no corrections) (eV per cell) = -15.55

Lattice parameters (Å, degrees): 3.9490 7.7379 7.7379 86.27 75.22 75.22
Closest atoms and distances in Å follow each position.
Positions (direct):
Ba: 0.5634 0.1851 0.6881  2 Fe 3.36
Ba: 0.7485 0.6881 0.8149  2 Fe 3.36
Ba: 0.4366 0.8149 0.3119  2 Fe 3.36
Ba: 0.2515 0.3119 0.1851  2 Fe 3.36
Fe: 0.0000 0.0000 0.0000  8 Ba 3.36

***

The highest spin magnetization belongs to which entry? BaFe